1.
GdPtF7: single point on PBEsol structure, meta-GGA SCAN.

Cell: 8.889 5.483 11.947 Å, 90.00 117.96 90.00°
Positions (direct):
Gd  0.187  0.239  0.264
Gd  0.187  0.261  0.764
Gd  0.813  0.739  0.236
Gd  0.813  0.761  0.736
Pt  0.272  0.743  0.043
Pt  0.272  0.757  0.543
Pt  0.728  0.243  0.457
Pt  0.728  0.257  0.957
F  0.026  0.745  0.950
F  0.026  0.755  0.450
F  0.034  0.596  0.731
F  0.034  0.904  0.231
F  0.256  0.559  0.175
F  0.256  0.941  0.675
F  0.274  0.040  0.132
F  0.274  0.460  0.632
F  0.279  0.059  0.460
F  0.279  0.441  0.960
F  0.294  0.566  0.414
F  0.294  0.934  0.914
F  0.481  0.230  0.360
F  0.481  0.270  0.860
F  0.519  0.730  0.140
F  0.519  0.770  0.640
F  0.706  0.066  0.086
F  0.706  0.434  0.586
F  0.721  0.559  0.040
F  0.721  0.941  0.540
F  0.726  0.540  0.368
F  0.726  0.960  0.868
F  0.744  0.059  0.325
F  0.744  0.441  0.825
F  0.966  0.096  0.769
F  0.966  0.404  0.269
F  0.974  0.245  0.550
F  0.974  0.255  0.050

Summary:
**Symmetry**: P2_1/c
**Total energy**: -19.842 eV/atom
**Calculated volume**: 514 Å³ per cell
**D(E_F)**: 0.000 states/eV/f.u.
**Uncorrected formation energy**: -24.78 eV per formula unit

=====

2.
GdSnF7: single point on PBEsol structure, meta-GGA SCAN.

Cell: 8.979 5.617 12.084 Å, 90.00 117.79 90.00°
Positions (direct):
Gd  0.187  0.242  0.265
Gd  0.187  0.258  0.765
Gd  0.813  0.742  0.235
Gd  0.813  0.758  0.735
Sn  0.272  0.744  0.043
Sn  0.272  0.756  0.543
Sn  0.728  0.244  0.457
Sn  0.728  0.256  0.957
F  0.024  0.741  0.946
F  0.024  0.759  0.446
F  0.033  0.587  0.733
F  0.033  0.913  0.233
F  0.256  0.547  0.173
F  0.256  0.953  0.673
F  0.271  0.026  0.141
F  0.271  0.474  0.641
F  0.281  0.053  0.456
F  0.281  0.447  0.956
F  0.291  0.550  0.417
F  0.291  0.950  0.917
F  0.480  0.228  0.360
F  0.480  0.272  0.860
F  0.520  0.728  0.140
F  0.520  0.772  0.640
F  0.709  0.050  0.083
F  0.709  0.450  0.583
F  0.719  0.553  0.044
F  0.719  0.947  0.544
F  0.729  0.526  0.359
F  0.729  0.974  0.859
F  0.744  0.047  0.327
F  0.744  0.453  0.827
F  0.967  0.087  0.767
F  0.967  0.413  0.267
F  0.976  0.241  0.554
F  0.976  0.259  0.054

Summary:
**Symmetry**: P2_1/c
**Total energy**: -16.654 eV/atom
**Calculated volume**: 539 Å³ per cell
**D(E_F)**: 0.000 states/eV/f.u.
**Uncorrected formation energy**: -30.37 eV per formula unit

=====

3.
Ge5F12: single point on PBEsol structure, meta-GGA SCAN.

Cell: 8.307 7.544 7.910 Å, 90.00 92.53 90.00°
Positions (direct):
Ge  0.000  0.000  0.000
Ge  0.000  0.500  0.500
Ge  0.202  0.055  0.623
Ge  0.202  0.445  0.123
Ge  0.401  0.624  0.685
Ge  0.401  0.876  0.185
Ge  0.599  0.124  0.815
Ge  0.599  0.376  0.315
Ge  0.798  0.555  0.877
Ge  0.798  0.945  0.377
F  0.039  0.146  0.173
F  0.039  0.354  0.673
F  0.145  0.658  0.594
F  0.145  0.842  0.094
F  0.165  0.107  0.888
F  0.165  0.393  0.388
F  0.326  0.553  0.890
F  0.326  0.947  0.390
F  0.351  0.626  0.236
F  0.351  0.874  0.736
F  0.380  0.206  0.659
F  0.380  0.294  0.159
F  0.620  0.706  0.841
F  0.620  0.794  0.341
F  0.649  0.126  0.264
F  0.649  0.374  0.764
F  0.674  0.053  0.610
F  0.674  0.447  0.110
F  0.835  0.607  0.612
F  0.835  0.893  0.112
F  0.855  0.158  0.906
F  0.855  0.342  0.406
F  0.961  0.646  0.327
F  0.961  0.854  0.827

Summary:
**Symmetry**: P2_1/c
**Total energy**: -10.347 eV/atom
**Calculated volume**: 495 Å³ per cell
**D(E_F)**: 0.000 states/eV/f.u.
**Uncorrected formation energy**: -37.98 eV per formula unit

=====

4.
Ge3F8: single point on PBEsol structure, meta-GGA SCAN.

Cell: 5.085 5.132 12.293 Å, 90.00 111.92 90.00°
Positions (direct):
Ge  0.000  0.000  0.000
Ge  0.000  0.500  0.500
Ge  0.380  0.099  0.332
Ge  0.380  0.401  0.832
Ge  0.620  0.599  0.168
Ge  0.620  0.901  0.668
F  0.013  0.051  0.149
F  0.013  0.449  0.649
F  0.220  0.703  0.051
F  0.220  0.797  0.551
F  0.313  0.190  0.029
F  0.313  0.310  0.529
F  0.409  0.074  0.754
F  0.409  0.426  0.254
F  0.591  0.574  0.746
F  0.591  0.926  0.246
F  0.687  0.690  0.471
F  0.687  0.810  0.971
F  0.780  0.203  0.449
F  0.780  0.297  0.949
F  0.987  0.551  0.351
F  0.987  0.949  0.851

Summary:
**Symmetry**: P2_1/c
**Total energy**: -10.081 eV/atom
**Calculated volume**: 298 Å³ per cell
**D(E_F)**: 0.000 states/eV/f.u.
**Uncorrected formation energy**: -25.31 eV per formula unit

=====

5.
MgGeH12O6F6: single point on PBEsol structure, meta-GGA SCAN.

Cell: 6.537 9.467 8.448 Å, 90.00 100.31 90.00°
Positions (direct):
Mg  0.000  0.000  0.000
Mg  0.000  0.500  0.500
Ge  0.500  0.000  0.500
Ge  0.500  0.500  0.000
H  0.046  0.077  0.317
H  0.046  0.423  0.817
H  0.194  0.536  0.241
H  0.194  0.964  0.741
H  0.236  0.677  0.707
H  0.236  0.823  0.207
H  0.242  0.736  0.531
H  0.242  0.764  0.031
H  0.272  0.218  0.019
H  0.272  0.282  0.519
H  0.383  0.097  0.135
H  0.383  0.403  0.635
H  0.617  0.597  0.365
H  0.617  0.903  0.865
H  0.728  0.718  0.481
H  0.728  0.782  0.981
H  0.758  0.236  0.969
H  0.758  0.264  0.469
H  0.764  0.177  0.793
H  0.764  0.323  0.293
H  0.806  0.036  0.259
H  0.806  0.464  0.759
H  0.954  0.577  0.183
H  0.954  0.923  0.683
O  0.058  0.545  0.275
O  0.058  0.955  0.775
O  0.163  0.676  0.594
O  0.163  0.824  0.094
O  0.270  0.116  0.043
O  0.270  0.384  0.543
O  0.730  0.616  0.457
O  0.730  0.884  0.957
O  0.837  0.176  0.906
O  0.837  0.324  0.406
O  0.942  0.045  0.225
O  0.942  0.455  0.725
F  0.265  0.106  0.462
F  0.265  0.394  0.962
F  0.356  0.653  0.909
F  0.356  0.847  0.409
F  0.441  0.550  0.195
F  0.441  0.950  0.695
F  0.559  0.050  0.305
F  0.559  0.450  0.805
F  0.644  0.153  0.591
F  0.644  0.347  0.091
F  0.735  0.606  0.038
F  0.735  0.894  0.538

Summary:
**Symmetry**: P2_1/c
**Total energy**: -6.456 eV/atom
**Calculated volume**: 514 Å³ per cell
**D(E_F)**: 0.000 states/eV/f.u.

=====

6.
GeHOF2: single point on PBEsol structure, meta-GGA SCAN.

Cell: 3.856 3.856 3.445 Å, 90.00 90.00 90.00°
Positions (direct):
Ge  0.000  0.000  0.000
H  0.500  0.500  0.500
O  0.000  0.000  0.500
F  0.000  0.500  0.000
F  0.500  0.000  0.000

Summary:
**Symmetry**: P4/mmm
**Total energy**: -8.326 eV/atom
**Calculated volume**: 51 Å³ per cell
**D(E_F)**: 0.801 states/eV/f.u.